1.
A geometry-optimized CdSnBi2 structure. Source: OQMD, functional PBE-GGA.

Cell lengths 5.4894, 5.4894, 5.4894 Å; angles 60.00, 60.00, 60.00 degrees
Sites, in units of the cell vectors:
Cd: 0.0000 0.0000 0.0000
Sn: 0.7500 0.7500 0.7500
Bi: 0.2500 0.2500 0.2500
Bi: 0.5000 0.5000 0.5000

Symmetry   F-43m (216)
Energy   -3.1410 eV per atom
V   29.24 Å³/atom


2.
A geometry-optimized CdSn2Bi structure. Source: OQMD, functional PBE-GGA.

Cell lengths 5.4076, 5.4076, 5.4076 Å; angles 60.00, 60.00, 60.00 degrees
Sites, in units of the cell vectors:
Cd: 0.0000 0.0000 0.0000
Sn: 0.2500 0.2500 0.2500
Sn: 0.5000 0.5000 0.5000
Bi: 0.7500 0.7500 0.7500

Symmetry   F-43m (216)
Energy   -3.1478 eV per atom
V   27.95 Å³/atom


3.
A geometry-optimized SrCdBi2 structure. Source: OQMD, functional PBE-GGA.

Cell lengths 5.6496, 5.6496, 5.6496 Å; angles 60.00, 60.00, 60.00 degrees
Sites, in units of the cell vectors:
Sr: 0.0000 0.0000 0.0000
Cd: 0.2500 0.2500 0.2500
Bi: 0.5000 0.5000 0.5000
Bi: 0.7500 0.7500 0.7500

Symmetry   F-43m (216)
Energy   -2.9378 eV per atom
V   31.88 Å³/atom


4.
A geometry-optimized Sr9Cd4Bi9 structure. Source: OQMD, functional PBE-GGA.

Cell lengths 13.3336, 23.5768, 4.9521 Å; angles 90.00, 90.00, 90.00 degrees
Sites, in units of the cell vectors:
Sr: 0.0000 0.0000 0.0000
Sr: 0.0659 0.4111 0.5000
Sr: 0.1245 0.2351 0.5000
Sr: 0.1325 0.8649 0.5000
Sr: 0.2081 0.6027 0.0000
Sr: 0.2919 0.1027 0.0000
Sr: 0.3675 0.3649 0.5000
Sr: 0.3755 0.7351 0.5000
Sr: 0.4341 0.9111 0.5000
Sr: 0.5000 0.5000 0.0000
Sr: 0.5659 0.0889 0.5000
Sr: 0.6245 0.2649 0.5000
Sr: 0.6325 0.6351 0.5000
Sr: 0.7081 0.8973 0.0000
Sr: 0.7919 0.3973 0.0000
Sr: 0.8675 0.1351 0.5000
Sr: 0.8755 0.7649 0.5000
Sr: 0.9341 0.5889 0.5000
Cd: 0.1140 0.7613 0.0000
Cd: 0.2306 0.4543 0.0000
Cd: 0.2694 0.9543 0.0000
Cd: 0.3860 0.2613 0.0000
Cd: 0.6140 0.7387 0.0000
Cd: 0.7306 0.0457 0.0000
Cd: 0.7694 0.5457 0.0000
Cd: 0.8860 0.2387 0.0000
Bi: 0.0000 0.5000 0.0000
Bi: 0.0437 0.1452 0.0000
Bi: 0.1175 0.6922 0.5000
Bi: 0.1881 0.0112 0.5000
Bi: 0.1879 0.3308 0.0000
Bi: 0.3119 0.5112 0.5000
Bi: 0.3121 0.8308 0.0000
Bi: 0.3825 0.1922 0.5000
Bi: 0.4563 0.6452 0.0000
Bi: 0.5000 0.0000 0.0000
Bi: 0.5437 0.3548 0.0000
Bi: 0.6175 0.8078 0.5000
Bi: 0.6879 0.1692 0.0000
Bi: 0.6881 0.4888 0.5000
Bi: 0.8121 0.6692 0.0000
Bi: 0.8119 0.9888 0.5000
Bi: 0.8825 0.3078 0.5000
Bi: 0.9563 0.8548 0.0000

Symmetry   Pbam (55)
Energy   -3.2435 eV per atom
V   35.38 Å³/atom


5.
A geometry-optimized SrCdBi2 structure. Source: OQMD, functional PBE-GGA.

Cell lengths 11.8519, 11.8519, 11.8519 Å; angles 157.19, 157.19, 32.48 degrees
Sites, in units of the cell vectors:
Sr: 0.1173 0.1173 0.0000
Sr: 0.8827 0.8827 0.0000
Cd: 0.2500 0.7500 0.5000
Cd: 0.7500 0.2500 0.5000
Bi: 0.0000 0.5000 0.5000
Bi: 0.3386 0.3386 0.0000
Bi: 0.5000 0.0000 0.5000
Bi: 0.6614 0.6614 0.0000

Symmetry   I4/mmm (139)
Energy   -3.1513 eV per atom
V   31.26 Å³/atom


6.
A geometry-optimized Ta2CdBi structure. Source: OQMD, functional PBE-GGA.

Cell lengths 4.9400, 4.9400, 4.9400 Å; angles 60.00, 60.00, 60.00 degrees
Sites, in units of the cell vectors:
Ta: 0.0000 0.0000 0.0000
Ta: 0.2500 0.2500 0.2500
Cd: 0.7500 0.7500 0.7500
Bi: 0.5000 0.5000 0.5000

Symmetry   F-43m (216)
Energy   -6.3992 eV per atom
V   21.31 Å³/atom


7.
A geometry-optimized TaCdBi structure. Source: OQMD, functional PBE-GGA.

Cell lengths 4.8677, 4.8677, 4.8677 Å; angles 60.00, 60.00, 60.00 degrees
Sites, in units of the cell vectors:
Ta: 0.0000 0.0000 0.0000
Cd: 0.5000 0.5000 0.5000
Bi: 0.7500 0.7500 0.7500

Symmetry   F-43m (216)
Energy above the most stable polymorph in this dataset   336 meV/atom
V   27.19 Å³/atom


8.
A geometry-optimized TaCdBi structure. Source: OQMD, functional PBE-GGA.

Cell lengths 4.8344, 4.8344, 4.8344 Å; angles 60.00, 60.00, 60.00 degrees
Sites, in units of the cell vectors:
Ta: 0.0000 0.0000 0.0000
Cd: 0.2500 0.2500 0.2500
Bi: 0.7500 0.7500 0.7500

Symmetry   F-43m (216)
Energy above the most stable polymorph in this dataset   0 meV/atom
V   26.63 Å³/atom


9.
A geometry-optimized TaCdBi2 structure. Source: OQMD, functional PBE-GGA.

Cell lengths 5.2223, 5.2223, 5.2223 Å; angles 60.00, 60.00, 60.00 degrees
Sites, in units of the cell vectors:
Ta: 0.0000 0.0000 0.0000
Cd: 0.2500 0.2500 0.2500
Bi: 0.5000 0.5000 0.5000
Bi: 0.7500 0.7500 0.7500

Symmetry   F-43m (216)
Energy   -4.4277 eV per atom
V   25.18 Å³/atom


10.
A geometry-optimized TaCd2Bi structure. Source: OQMD, functional PBE-GGA.

Cell lengths 5.0452, 5.0452, 5.0452 Å; angles 60.00, 60.00, 60.00 degrees
Sites, in units of the cell vectors:
Ta: 0.0000 0.0000 0.0000
Cd: 0.2500 0.2500 0.2500
Cd: 0.5000 0.5000 0.5000
Bi: 0.7500 0.7500 0.7500

Symmetry   F-43m (216)
Energy   -3.7521 eV per atom
V   22.70 Å³/atom


11.
A geometry-optimized Cd2TcBi structure. Source: OQMD, functional PBE-GGA.

Cell lengths 4.9133, 4.9133, 4.9133 Å; angles 60.00, 60.00, 60.00 degrees
Sites, in units of the cell vectors:
Cd: 0.0000 0.0000 0.0000
Cd: 0.2500 0.2500 0.2500
Tc: 0.7500 0.7500 0.7500
Bi: 0.5000 0.5000 0.5000

Symmetry   F-43m (216)
Energy   -3.4413 eV per atom
V   20.97 Å³/atom


12.
A geometry-optimized CdBiTe structure. Source: OQMD, functional PBE-GGA.

Cell lengths 8.2438, 4.3096, 10.3612 Å; angles 90.00, 90.00, 90.00 degrees
Sites, in units of the cell vectors:
Cd: 0.1315 0.2500 0.1605
Cd: 0.3685 0.7500 0.6605
Cd: 0.6315 0.2500 0.3395
Cd: 0.8685 0.7500 0.8395
Bi: 0.1425 0.2500 0.5158
Bi: 0.3575 0.7500 0.0158
Bi: 0.6425 0.2500 0.9842
Bi: 0.8575 0.7500 0.4842
Te: 0.1150 0.2500 0.8082
Te: 0.3850 0.7500 0.3083
Te: 0.6150 0.2500 0.6918
Te: 0.8850 0.7500 0.1918

Symmetry   Pnma (62)
Energy   -2.7419 eV per atom
V   30.68 Å³/atom


13.
A geometry-optimized CdBiTe structure. Source: OQMD, functional PBE-GGA.

Cell lengths 8.1204, 4.0156, 11.8927 Å; angles 90.00, 90.00, 90.00 degrees
Sites, in units of the cell vectors:
Cd: 0.0561 0.2500 0.1181
Cd: 0.4439 0.7500 0.6181
Cd: 0.5561 0.2500 0.3819
Cd: 0.9439 0.7500 0.8819
Bi: 0.2313 0.2500 0.8667
Bi: 0.2687 0.7500 0.3667
Bi: 0.7313 0.2500 0.6333
Bi: 0.7687 0.7500 0.1333
Te: 0.1699 0.2500 0.6224
Te: 0.3301 0.7500 0.1224
Te: 0.6699 0.2500 0.8776
Te: 0.8301 0.7500 0.3776

Symmetry   Pnma (62)
Energy   -2.6840 eV per atom
V   32.32 Å³/atom


14.
A geometry-optimized CdBiTe structure. Source: OQMD, functional PBE-GGA.

Cell lengths 5.2832, 5.2832, 5.2832 Å; angles 60.00, 60.00, 60.00 degrees
Sites, in units of the cell vectors:
Cd: 0.0000 0.0000 0.0000
Bi: 0.2500 0.2500 0.2500
Te: 0.5000 0.5000 0.5000

Symmetry   F-43m (216)
Energy   -2.5283 eV per atom
V   34.76 Å³/atom


15.
A geometry-optimized CdBi2Te4 structure. Source: OQMD, functional PBE-GGA.

Cell lengths 9.0941, 9.0941, 9.0941 Å; angles 120.08, 120.08, 89.86 degrees
Sites, in units of the cell vectors:
Cd: 0.0000 0.0000 0.0000
Cd: 0.7500 0.2500 0.5000
Bi: 0.3660 0.1250 0.7410
Bi: 0.3750 0.6340 0.7590
Bi: 0.3840 0.6250 0.2590
Bi: 0.8750 0.6160 0.2410
Te: 0.1242 0.8712 0.7357
Te: 0.1288 0.8645 0.2530
Te: 0.1355 0.3885 0.2643
Te: 0.1385 0.3855 0.7643
Te: 0.6115 0.8758 0.7470
Te: 0.6145 0.3788 0.7530
Te: 0.6212 0.3742 0.2357
Te: 0.6258 0.8615 0.2470

Symmetry   I-42d (122)
Energy   -3.3320 eV per atom
V   37.94 Å³/atom


16.
A geometry-optimized TlCdBi structure. Source: OQMD, functional PBE-GGA.

Cell lengths 5.1524, 5.1524, 5.1524 Å; angles 60.00, 60.00, 60.00 degrees
Sites, in units of the cell vectors:
Tl: 0.0000 0.0000 0.0000
Cd: 0.7500 0.7500 0.7500
Bi: 0.5000 0.5000 0.5000

Symmetry   F-43m (216)
Energy   -2.4216 eV per atom
V   32.24 Å³/atom


17.
A geometry-optimized CdBiW structure. Source: OQMD, functional PBE-GGA.

Cell lengths 4.7451, 4.7451, 4.7451 Å; angles 60.00, 60.00, 60.00 degrees
Sites, in units of the cell vectors:
Cd: 0.0000 0.0000 0.0000
Bi: 0.5000 0.5000 0.5000
W: 0.7500 0.7500 0.7500

Symmetry   F-43m (216)
Energy above the most stable polymorph in this dataset   0 meV/atom
V   25.18 Å³/atom


18.
A geometry-optimized CdBi2W structure. Source: OQMD, functional PBE-GGA.

Cell lengths 5.1458, 5.1458, 5.1458 Å; angles 60.00, 60.00, 60.00 degrees
Sites, in units of the cell vectors:
Cd: 0.0000 0.0000 0.0000
Bi: 0.2500 0.2500 0.2500
Bi: 0.5000 0.5000 0.5000
W: 0.7500 0.7500 0.7500

Symmetry   F-43m (216)
Energy   -4.4068 eV per atom
V   24.09 Å³/atom


19.
A geometry-optimized ZnCd2Bi structure. Source: OQMD, functional PBE-GGA.

Cell lengths 5.1314, 5.1314, 5.1314 Å; angles 60.00, 60.00, 60.00 degrees
Sites, in units of the cell vectors:
Zn: 0.0000 0.0000 0.0000
Cd: 0.2500 0.2500 0.2500
Cd: 0.5000 0.5000 0.5000
Bi: 0.7500 0.7500 0.7500

Symmetry   F-43m (216)
Energy   -1.6367 eV per atom
V   23.89 Å³/atom


20.
A geometry-optimized ZrCdBi structure. Source: OQMD, functional PBE-GGA.

Cell lengths 4.9628, 4.9628, 4.9628 Å; angles 60.00, 60.00, 60.00 degrees
Sites, in units of the cell vectors:
Zr: 0.0000 0.0000 0.0000
Cd: 0.2500 0.2500 0.2500
Bi: 0.7500 0.7500 0.7500

Symmetry   F-43m (216)
Energy above the most stable polymorph in this dataset   0 meV/atom
V   28.81 Å³/atom